# 1
VASP calculation (PBE) on crystalline UTlAgS4 at its relaxed geometry.

a = 6.5714 Å, b = 6.7150 Å, c = 10.2089 Å
α = 90.00°, β = 127.28°, γ = 90.00°
Last column: magnetic moment on the atom in μB.
Fractional coordinates of all 14 atoms:
1 U 0.7659 0.7500 0.4494  -0.19
2 U 0.2341 0.2500 0.5506  -0.19
3 Tl 0.6658 0.7500 0.9336  0.00
4 Tl 0.3342 0.2500 0.0664  0.00
5 Ag 0.1687 0.7500 0.3392  0.01
6 Ag 0.8313 0.2500 0.6608  0.01
7 S 0.1373 0.5164 0.6957  0.01
8 S 0.8627 0.0164 0.3043  0.01
9 S 0.8627 0.4836 0.3043  0.01
10 S 0.1373 0.9836 0.6957  0.01
11 S 0.3294 0.7500 0.1733  0.01
12 S 0.6706 0.2500 0.8267  0.01
13 S 0.5934 0.7500 0.6127  0.02
14 S 0.4066 0.2500 0.3873  0.02

Output
- electronic total energy (eV/atom) = -5.388
- density (g/cm³) = 6.3


# 2
VASP calculation (PBE) on crystalline Nd12DyRh7 at its relaxed geometry.

a = 9.0110 Å, b = 9.0110 Å, c = 9.0110 Å
α = 107.09°, β = 107.09°, γ = 107.09°
Fractional coordinates of all 20 atoms:
1 Nd 0.9239 0.3096 0.7766
2 Nd 0.6904 0.2234 0.0761
3 Nd 0.4596 0.1561 0.3793
4 Nd 0.8439 0.6207 0.5404
5 Nd 0.2234 0.0761 0.6904
6 Nd 0.6207 0.5404 0.8439
7 Nd 0.3793 0.4596 0.1561
8 Nd 0.7766 0.9239 0.3096
9 Nd 0.1561 0.3793 0.4596
10 Nd 0.5404 0.8439 0.6207
11 Nd 0.3096 0.7766 0.9239
12 Nd 0.0761 0.6904 0.2234
13 Dy 0.0000 0.0000 0.0000
14 Rh 0.9654 0.6509 0.8808
15 Rh 0.3491 0.1192 0.0346
16 Rh 0.1192 0.0346 0.3491
17 Rh 0.5000 0.5000 0.5000
18 Rh 0.8808 0.9654 0.6509
19 Rh 0.6509 0.8808 0.9654
20 Rh 0.0346 0.3491 0.1192

Output
- electronic total energy (eV/atom) = -6.135
- density (g/cm³) = 7.1
- formation energy from the elements (eV per atom) = -0.4716


# 3
VASP calculation (PBE) on crystalline NbGa4Co5 at its relaxed geometry.

a = 2.8397 Å, b = 2.8397 Å, c = 15.3660 Å
α = 90.00°, β = 90.00°, γ = 90.00°
Fractional coordinates of all 10 atoms:
1 Nb 0.0000 0.0000 0.0000
2 Ga 0.0000 0.0000 0.2115
3 Ga 0.0000 0.0000 0.4044
4 Ga 0.0000 0.0000 0.5956
5 Ga 0.0000 0.0000 0.7885
6 Co 0.5000 0.5000 0.1183
7 Co 0.5000 0.5000 0.3103
8 Co 0.5000 0.5000 0.5000
9 Co 0.5000 0.5000 0.6897
10 Co 0.5000 0.5000 0.8817

Output
- electronic total energy (eV/atom) = -6.034
- density (g/cm³) = 8.9
- formation energy from the elements (eV per atom) = -0.2632


# 4
VASP calculation (PBE) on crystalline ReAu2Br at its relaxed geometry.

a = 4.8537 Å, b = 4.8537 Å, c = 6.8799 Å
α = 77.12°, β = 77.12°, γ = 35.78°
Fractional coordinates of all 4 atoms:
1 Re 0.2043 0.2043 0.1635
2 Au 0.9523 0.9523 0.0482
3 Au 0.7201 0.7201 0.8218
4 Br 0.6233 0.6233 0.4664

Output
- electronic total energy (eV/atom) = -4.583
- offset from the most stable computed form (eV per atom) = 0.079
- density (g/cm³) = 11.9


# 5
VASP calculation (PBE) on crystalline SrPdSe at its relaxed geometry.

a = 4.7364 Å, b = 4.9126 Å, c = 8.0055 Å
α = 99.93°, β = 90.00°, γ = 61.18°
Fractional coordinates of all 6 atoms:
1 Sr 0.3170 0.9354 0.1338
2 Sr 0.5511 0.4674 0.5655
3 Pd 0.1653 0.2389 0.8233
4 Pd 0.8544 0.8609 0.6818
5 Se 0.9425 0.6844 0.3573
6 Se 0.6628 0.2439 0.9479

Output
- electronic total energy (eV/atom) = -4.599
- density (g/cm³) = 5.7


# 6
VASP calculation (PBE) on crystalline SrSc2Ta at its relaxed geometry.

a = 6.5512 Å, b = 6.5512 Å, c = 6.5512 Å
α = 151.56°, β = 125.40°, γ = 62.71°
Fractional coordinates of all 4 atoms:
1 Sc 0.9630 0.9630 0.0000
2 Sc 0.5370 0.5370 0.0000
3 Sr 0.2500 0.7500 0.5000
4 Ta 0.7500 0.2500 0.5000

Output
- electronic total energy (eV/atom) = -5.970
- offset from the most stable computed form (eV per atom) = 0.262
- density (g/cm³) = 5.5
- formation energy from the elements (eV per atom) = 0.5796


# 7
VASP calculation (PBE) on crystalline ThCuBiAu at its relaxed geometry.

a = 5.0877 Å, b = 5.0877 Å, c = 5.0877 Å
α = 60.00°, β = 60.00°, γ = 60.00°
Fractional coordinates of all 4 atoms:
1 Cu 0.7500 0.7500 0.7500
2 Au 0.2500 0.2500 0.2500
3 Bi 0.5000 0.5000 0.5000
4 Th 0.0000 0.0000 0.0000

Output
- electronic total energy (eV/atom) = -4.981
- density (g/cm³) = 12.5
- formation energy from the elements (eV per atom) = -0.3123


# 8
VASP calculation (PBE) on crystalline AlVHPd2 at its relaxed geometry.

a = 3.9987 Å, b = 3.9987 Å, c = 3.9175 Å
α = 90.00°, β = 90.00°, γ = 90.00°
Last column: magnetic moment on the atom in μB.
Fractional coordinates of all 5 atoms:
1 H 0.0000 0.0000 0.0000  0.00
2 Al 0.5000 0.5000 0.5000  0.00
3 Pd 0.0000 0.5000 0.0000  0.22
4 Pd 0.5000 0.0000 0.0000  0.22
5 V 0.0000 0.0000 0.5000  2.07

Output
- electronic total energy (eV/atom) = -5.598
- density (g/cm³) = 7.7